Th2GaGeRh6 after structural relaxation. Source: the Alexandria database, functional PBE.

Output
magnetic moment	0.00	Bohr magnetons per cell
E	-0.2678	hartree per atom
formation energy	-628	meV/atom

Cell: 5.6614 5.6850 7.2022 Å, 108.46 91.82 119.10°
Last column: nearest neighbours and their distance in Å.
Positions (direct):
Th1 0.1744 0.0180 0.2564  7 Rh 2.74-3.07
Th2 0.8256 0.9820 0.7436  7 Rh 2.74-3.07
Ga1 0.0000 0.5000 0.5000  6 Rh 2.47-2.67
Ge1 0.5000 0.5000 0.0000  6 Rh 2.44-2.46
Rh1 0.1302 0.4906 0.1687  1 Ge 2.44, 1 Ga 2.51
Rh2 0.3356 0.4216 0.6563  1 Ge 2.44, 1 Ga 2.47
Rh3 0.3505 0.9869 0.8139  1 Ge 2.46, 1 Ga 2.67
Rh4 0.6495 0.0131 0.1861  1 Ge 2.46, 1 Ga 2.67
Rh5 0.6644 0.5784 0.3437  1 Ge 2.44, 1 Ga 2.47
Rh6 0.8698 0.5094 0.8313  1 Ge 2.44, 1 Ga 2.51


HgIrPdI2 after structural relaxation. Source: the Alexandria database, functional PBE.

Output
magnetic moment	2.55	Bohr magnetons per cell
formation energy from raw total energies	4.496	eV per formula unit
E	-0.0953	hartree per atom

Cell: 5.4475 5.4475 5.0552 Å, 90.00 90.00 90.00°
Last column: nearest neighbours and their distance in Å.
Positions (direct):
Hg1 0.0000 0.0000 0.0000  8 I 3.72, 4 Ir 3.85
Ir1 0.5000 0.5000 0.0000  2 Pd 2.53
Pd1 0.5000 0.5000 0.5000  2 Ir 2.53, 4 I 2.72
I1 0.0000 0.5000 0.5000  2 Pd 2.72
I2 0.5000 0.0000 0.5000  2 Pd 2.72


Ag4BrCl4 after structural relaxation. Source: the Alexandria database, functional PBE.

Output
magnetic moment	0.00	Bohr magnetons per cell
formation energy from raw total energies	-3.367	eV per formula unit
E	-0.0973	hartree per atom

Cell: 7.4183 7.4183 8.7726 Å, 90.00 90.00 80.51°
Last column: nearest neighbours and their distance in Å.
Positions (direct):
Ag1 0.2124 0.7876 0.5321  4 Cl 2.71-2.73, 1 Br 2.77
Ag2 0.2124 0.7876 0.9679  4 Cl 2.71-2.73, 1 Br 2.77
Ag3 0.2212 0.3240 0.2500  4 Cl 2.60-2.63, 1 Br 2.77
Ag4 0.3240 0.2212 0.7500  4 Cl 2.60-2.63, 1 Br 2.77
Ag5 0.6760 0.7788 0.2500  4 Cl 2.60-2.63, 1 Br 2.77
Ag6 0.7788 0.6760 0.7500  4 Cl 2.60-2.63, 1 Br 2.77
Ag7 0.7876 0.2124 0.0321  4 Cl 2.71-2.73, 1 Br 2.77
Ag8 0.7876 0.2124 0.4679  4 Cl 2.71-2.73, 1 Br 2.77
Br1 0.3424 0.6576 0.2500  4 Ag 2.77
Br2 0.6576 0.3424 0.7500  4 Ag 2.77
Cl1 0.1321 0.5507 0.7500  4 Ag 2.62-2.73
Cl2 0.1565 0.1565 0.0000  4 Ag 2.60-2.71
Cl3 0.1565 0.1565 0.5000  4 Ag 2.60-2.71
Cl4 0.4493 0.8679 0.7500  4 Ag 2.62-2.73
Cl5 0.5507 0.1321 0.2500  4 Ag 2.62-2.73
Cl6 0.8435 0.8435 0.0000  4 Ag 2.60-2.71
Cl7 0.8435 0.8435 0.5000  4 Ag 2.60-2.71
Cl8 0.8679 0.4493 0.2500  4 Ag 2.62-2.73


Mg2AgSn after structural relaxation. Source: the Alexandria database, functional PBE.

Output
magnetic moment	0.00	Bohr magnetons per cell
E	-0.0898	hartree per atom
formation energy	66	meV/atom

Cell: 6.3453 6.3453 6.3453 Å, 103.15 103.15 123.02°
Last column: nearest neighbours and their distance in Å.
Positions (direct):
Mg1 0.0992 0.6250 0.9742  2 Ag 2.75, 2 Sn 3.03, 2 Mg 3.05
Mg2 0.3750 0.3492 0.4742  2 Ag 2.75, 2 Sn 3.03, 2 Mg 3.05
Mg3 0.6508 0.1250 0.0258  2 Ag 2.75, 2 Sn 3.03, 2 Mg 3.05
Mg4 0.8750 0.9008 0.5258  2 Ag 2.75, 2 Sn 3.03, 2 Mg 3.05
Ag1 0.0000 0.0000 0.0000  4 Mg 2.75, 2 Sn 3.03
Ag2 0.7500 0.2500 0.5000  4 Mg 2.75, 2 Sn 3.03
Sn1 0.2500 0.7500 0.5000  2 Ag 3.03, 4 Mg 3.03
Sn2 0.5000 0.5000 0.0000  2 Ag 3.03, 4 Mg 3.03


UInIr2 after structural relaxation. Source: the Alexandria database, functional PBE.

Output
magnetic moment	0.98	Bohr magnetons per cell
E	-0.3035	hartree per atom
formation energy	-322	meV/atom

Cell: 3.1261 3.1261 7.5152 Å, 90.00 90.00 90.00°
Last column: nearest neighbours and their distance in Å.
Positions (direct):
U1 0.0000 0.0000 0.0000  8 Ir 2.91, 4 U 3.13
In1 0.0000 0.0000 0.5000  8 Ir 2.89, 4 In 3.13
Ir1 0.5000 0.5000 0.2520  4 In 2.89, 4 U 2.91, 4 Ir 3.13
Ir2 0.5000 0.5000 0.7480  4 In 2.89, 4 U 2.91, 4 Ir 3.13


TbLu2Sc after structural relaxation. Source: the Alexandria database, functional PBE.

Output
magnetic moment	0.00	Bohr magnetons per cell
energy above the most stable polymorph in this dataset	0	meV per atom
E	-0.1821	hartree per atom
formation energy	47	meV/atom

Cell: 3.4411 3.4411 9.6973 Å, 90.00 90.00 90.00°
Last column: nearest neighbours and their distance in Å.
Positions (direct):
Tb1 0.0000 0.0000 0.0000  4 Tb 3.44, 8 Lu 3.51
Lu1 0.5000 0.5000 0.2604  4 Sc 3.36, 4 Lu 3.44, 4 Tb 3.51
Lu2 0.5000 0.5000 0.7396  4 Sc 3.36, 4 Lu 3.44, 4 Tb 3.51
Sc1 0.0000 0.0000 0.5000  8 Lu 3.36, 4 Sc 3.44


PmTcSb3 after structural relaxation. Source: the Alexandria database, functional PBE.

Output
magnetic moment	0.00	Bohr magnetons per cell
formation energy from raw total energies	-2.551	eV per formula unit
E	-0.2208	hartree per atom

Cell: 12.8089 6.2288 6.1807 Å, 90.00 90.00 90.00°
Last column: nearest neighbours and their distance in Å.
Positions (direct):
Pm1 0.1938 0.0063 0.2500  9 Sb 3.23-3.37, 2 Tc 3.40
Pm2 0.1938 0.4937 0.7500  9 Sb 3.23-3.37, 2 Tc 3.40
Pm3 0.8062 0.5063 0.2500  9 Sb 3.23-3.37, 2 Tc 3.40
Pm4 0.8062 0.9937 0.7500  9 Sb 3.23-3.37, 2 Tc 3.40
Tc1 0.3980 0.2500 0.0000  6 Sb 2.71-2.74
Tc2 0.3980 0.2500 0.5000  6 Sb 2.71-2.74
Tc3 0.6020 0.7500 0.0000  6 Sb 2.71-2.74
Tc4 0.6020 0.7500 0.5000  6 Sb 2.71-2.74
Sb1 0.0011 0.2500 0.0000  4 Sb 3.09-3.11, 4 Pm 3.28-3.34
Sb2 0.0011 0.2500 0.5000  4 Sb 3.09-3.11, 4 Pm 3.28-3.34
Sb3 0.2814 0.5156 0.2500  2 Tc 2.71
Sb4 0.2814 0.9844 0.7500  2 Tc 2.71
Sb5 0.4406 0.6011 0.7500  4 Tc 2.73-2.74
Sb6 0.4406 0.8989 0.2500  4 Tc 2.73-2.74
Sb7 0.5594 0.1011 0.7500  4 Tc 2.73-2.74
Sb8 0.5594 0.3989 0.2500  4 Tc 2.73-2.74
Sb9 0.7186 0.0156 0.2500  2 Tc 2.71
Sb10 0.7186 0.4844 0.7500  2 Tc 2.71
Sb11 0.9989 0.7500 0.0000  4 Sb 3.09-3.11, 4 Pm 3.28-3.34
Sb12 0.9989 0.7500 0.5000  4 Sb 3.09-3.11, 4 Pm 3.28-3.34


Tb2NdSmAs4 after structural relaxation. Source: the Alexandria database, functional PBE.

Output
magnetic moment	0.00	Bohr magnetons per cell
E	-0.2277	hartree per atom
formation energy	-1528	meV/atom

Cell: 7.2575 4.1942 7.2596 Å, 90.00 109.47 90.00°
Last column: nearest neighbours and their distance in Å.
Positions (direct):
Tb1 0.0000 0.0000 0.0000  6 As 2.93
Tb2 0.0000 0.5000 0.5000  6 As 2.94-2.95
Nd1 0.5000 0.0000 0.5000  6 As 3.00
Sm1 0.5000 0.5000 0.0000  6 As 2.98
As1 0.2430 0.5000 0.2461  3 Tb 2.93-2.94, 1 Sm 2.98, 2 Nd 3.00
As2 0.2442 0.0000 0.7496  3 Tb 2.93-2.95, 2 Sm 2.98, 1 Nd 3.00
As3 0.7558 0.0000 0.2504  3 Tb 2.93-2.95, 2 Sm 2.98, 1 Nd 3.00
As4 0.7570 0.5000 0.7539  3 Tb 2.93-2.94, 1 Sm 2.98, 2 Nd 3.00


ScRhPb2 after structural relaxation. Source: the Alexandria database, functional PBE.

Output
magnetic moment	0.00	Bohr magnetons per cell
E	-0.1991	hartree per atom
formation energy	-143	meV/atom

Cell: 4.8242 4.8242 5.7878 Å, 103.23 103.23 43.25°
Last column: nearest neighbours and their distance in Å.
Positions (direct):
Sc1 0.0000 0.0000 0.0000  6 Pb 2.96-3.07
Rh1 0.5000 0.5000 0.5000  6 Pb 2.83-2.95
Pb1 0.2371 0.2371 0.7229  3 Rh 2.83-2.95, 3 Sc 2.96-3.07
Pb2 0.7629 0.7629 0.2771  3 Rh 2.83-2.95, 3 Sc 2.96-3.07


Tb2MgNb after structural relaxation. Source: the Alexandria database, functional PBE.

Output
magnetic moment	0.27	Bohr magnetons per cell
energy above the most stable polymorph in this dataset	363	meV per atom
E	-0.1733	hartree per atom
formation energy	516	meV/atom

Cell: 11.9228 11.9228 11.9228 Å, 15.30 15.30 15.30°
Last column: nearest neighbours and their distance in Å.
Positions (direct):
Tb1 0.0835 0.0835 0.0835  1 Nb 2.95, 6 Tb 3.17
Tb2 0.9165 0.9165 0.9165  1 Nb 2.95, 6 Tb 3.17
Mg1 0.5000 0.5000 0.5000  6 Mg 3.17, 6 Tb 3.46
Nb1 0.0000 0.0000 0.0000  2 Tb 2.95, 6 Nb 3.17


Nb2SnB after structural relaxation. Source: the Alexandria database, functional PBE.

Output
magnetic moment	0.00	Bohr magnetons per cell
energy above the most stable polymorph in this dataset	236	meV per atom
E	-0.2765	hartree per atom
formation energy	180	meV/atom

Cell: 5.6578 5.6578 5.6578 Å, 104.85 104.85 119.17°
Last column: nearest neighbours and their distance in Å.
Positions (direct):
Nb1 0.0621 0.6250 0.9371  2 B 2.27
Nb2 0.3750 0.3121 0.4371  2 B 2.27
Nb3 0.6879 0.1250 0.0629  2 B 2.27
Nb4 0.8750 0.9379 0.5629  2 B 2.27
Sn1 0.2500 0.7500 0.5000  8 Nb 2.85-3.04, 2 B 2.86
Sn2 0.5000 0.5000 0.0000  8 Nb 2.85-3.04, 2 B 2.86
B1 0.0000 0.0000 0.0000  4 Nb 2.27
B2 0.7500 0.2500 0.5000  4 Nb 2.27


KCuPbO4 after structural relaxation. Source: the Alexandria database, functional PBE.

Output
magnetic moment	0.00	Bohr magnetons per cell
formation energy from raw total energies	-5.618	eV per formula unit
E	-0.1803	hartree per atom

Cell: 7.2953 7.2953 7.2953 Å, 133.18 125.94 74.26°
Last column: nearest neighbours and their distance in Å.
Positions (direct):
K1 0.4205 0.1705 0.2500  4 O 2.45-2.52
K2 0.5795 0.8295 0.7500  4 O 2.45-2.52
Cu1 0.0000 0.0000 0.5000  4 O 1.91
Cu2 0.0000 0.5000 0.0000  4 O 1.91
Pb1 0.0000 0.5000 0.5000  4 O 2.16
Pb2 0.5000 0.5000 0.0000  4 O 2.16
O1 0.1418 0.7152 0.4266  2 Cu 1.91
O2 0.2114 0.2848 0.9266  2 Cu 1.91
O3 0.2548 0.2661 0.5113  2 Pb 2.16
O4 0.2548 0.7435 0.9887  2 Pb 2.16
O5 0.7452 0.2565 0.0113  2 Pb 2.16
O6 0.7452 0.7339 0.4887  2 Pb 2.16
O7 0.7886 0.7152 0.0734  2 Cu 1.91
O8 0.8582 0.2848 0.5734  2 Cu 1.91


So what do the calculations give for DOS at the Fermi energy? Going down the list: 0.59 0.92 0.87 0.48 0.50 1.58 0.58 0.10 0.66 1.46 1.02 0.03 states/eV/atom.